No. 1
VASP calculation (PBE) on a relaxed structure of SbH4Pd12.

```
data_SbH4Pd12
_chemical_formula_sum 'Sb2 H8 Pd24'
_cell_length_a 7.632
_cell_length_b 7.632
_cell_length_c 7.632
_cell_angle_alpha 90.00
_cell_angle_beta 90.00
_cell_angle_gamma 90.00
_space_group_name_H-M_alt 'I m -3'
_space_group_IT_number 204
_space_group_name_Hall '-I 2 2 3'
loop_
_atom_site_label
_atom_site_type_symbol
_atom_site_fract_x
_atom_site_fract_y
_atom_site_fract_z
Sb1 Sb 0.000 0.000 0.000
H1 H 0.250 0.250 0.250
Pd1 Pd 0.000 0.310 0.185
```


No. 2
VASP calculation (PBE) on a relaxed structure of BeC8.

formation energy: 2.849 eV/atom

```
data_BeC8
_chemical_formula_sum 'Be2 C16'
_cell_length_a 9.155
_cell_length_b 9.155
_cell_length_c 3.274
_cell_angle_alpha 90.00
_cell_angle_beta 90.00
_cell_angle_gamma 90.00
_space_group_name_H-M_alt 'I 4/m m m'
_space_group_IT_number 139
_space_group_name_Hall '-I 4 2'
loop_
_atom_site_label
_atom_site_type_symbol
_atom_site_fract_x
_atom_site_fract_y
_atom_site_fract_z
Be1 Be 0.000 0.000 0.000
C1 C 0.000 0.425 0.000
C2 C 0.081 0.081 0.500
```


No. 3
VASP calculation (PBE) on a relaxed structure of Cs2YMnI6.

uncorrected formation energy: -1097 meV per atom

```
data_Cs2YMnI6
_chemical_formula_sum 'Cs8 Y4 Mn4 I24'
_cell_length_a 11.949
_cell_length_b 11.949
_cell_length_c 11.949
_cell_angle_alpha 90.00
_cell_angle_beta 90.00
_cell_angle_gamma 90.00
_space_group_name_H-M_alt 'F m -3 m'
_space_group_IT_number 225
_space_group_name_Hall '-F 4 2 3'
loop_
_atom_site_label
_atom_site_type_symbol
_atom_site_fract_x
_atom_site_fract_y
_atom_site_fract_z
Cs1 Cs 0.250 0.250 0.250
Y1 Y 0.000 0.000 0.000
Mn1 Mn 0.000 0.000 0.500
I1 I 0.000 0.000 0.255
```


No. 4
VASP calculation (PBE) on a relaxed structure of TcIrRh2.

formation energy: 0.375 eV/atom

```
data_TcIrRh2
_chemical_formula_sum 'Tc4 Ir4 Rh8'
_cell_length_a 6.174
_cell_length_b 6.174
_cell_length_c 6.174
_cell_angle_alpha 90.00
_cell_angle_beta 90.00
_cell_angle_gamma 90.00
_space_group_name_H-M_alt 'F m -3 m'
_space_group_IT_number 225
_space_group_name_Hall '-F 4 2 3'
loop_
_atom_site_label
_atom_site_type_symbol
_atom_site_fract_x
_atom_site_fract_y
_atom_site_fract_z
Tc1 Tc 0.000 0.000 0.000
Ir1 Ir 0.000 0.000 0.500
Rh1 Rh 0.250 0.250 0.250
```


No. 5
VASP calculation (PBE) on a relaxed structure of RbInSbH.

```
data_RbInSbH
_chemical_formula_sum 'Rb1 In1 Sb1 H1'
_cell_length_a 4.664
_cell_length_b 5.160
_cell_length_c 6.145
_cell_angle_alpha 90.00
_cell_angle_beta 90.00
_cell_angle_gamma 90.00
_space_group_name_H-M_alt 'P m m 2'
_space_group_IT_number 25
_space_group_name_Hall 'P 2 -2'
loop_
_atom_site_label
_atom_site_type_symbol
_atom_site_fract_x
_atom_site_fract_y
_atom_site_fract_z
Rb1 Rb 0.000 0.000 0.000
In1 In 0.500 0.500 0.337
Sb1 Sb 0.000 0.500 0.574
H1 H 0.500 0.500 0.042
```


No. 6
VASP calculation (PBE) on a relaxed structure of Na2CdI.

uncorrected formation energy: -403 meV per atom

```
data_Na2CdI
_chemical_formula_sum 'Na8 Cd4 I4'
_cell_length_a 8.054
_cell_length_b 8.054
_cell_length_c 8.054
_cell_angle_alpha 90.00
_cell_angle_beta 90.00
_cell_angle_gamma 90.00
_space_group_name_H-M_alt 'F m -3 m'
_space_group_IT_number 225
_space_group_name_Hall '-F 4 2 3'
loop_
_atom_site_label
_atom_site_type_symbol
_atom_site_fract_x
_atom_site_fract_y
_atom_site_fract_z
Na1 Na 0.250 0.250 0.250
Cd1 Cd 0.000 0.000 0.000
I1 I 0.000 0.000 0.500
```


No. 7
VASP calculation (PBE) on a relaxed structure of Pu4Ge8Pt.

formation energy: -0.395 eV/atom

```
data_Pu4Ge8Pt
_chemical_formula_sum 'Pu4 Ge8 Pt1'
_cell_length_a 4.073
_cell_length_b 4.212
_cell_length_c 15.993
_cell_angle_alpha 90.00
_cell_angle_beta 90.00
_cell_angle_gamma 90.00
_space_group_name_H-M_alt 'P m m 2'
_space_group_IT_number 25
_space_group_name_Hall 'P 2 -2'
loop_
_atom_site_label
_atom_site_type_symbol
_atom_site_fract_x
_atom_site_fract_y
_atom_site_fract_z
Pu1 Pu 0.000 0.000 0.000
Pu2 Pu 0.000 0.500 0.483
Pu3 Pu 0.500 0.000 0.791
Pu4 Pu 0.500 0.500 0.283
Ge1 Ge 0.000 0.000 0.324
Ge2 Ge 0.000 0.000 0.617
Ge3 Ge 0.000 0.500 0.142
Ge4 Ge 0.000 0.500 0.861
Ge5 Ge 0.500 0.000 0.142
Ge6 Ge 0.500 0.000 0.430
Ge7 Ge 0.500 0.500 0.615
Ge8 Ge 0.500 0.500 0.963
Pt1 Pt 0.000 0.500 0.706
```


No. 8
VASP calculation (PBE) on a relaxed structure of TiFe2SeBr.

uncorrected formation energy: 441 meV per atom

```
data_TiFe2SeBr
_chemical_formula_sum 'Ti1 Fe2 Se1 Br1'
_cell_length_a 4.484
_cell_length_b 4.484
_cell_length_c 5.026
_cell_angle_alpha 90.00
_cell_angle_beta 90.00
_cell_angle_gamma 90.00
_space_group_name_H-M_alt 'P 4/m m m'
_space_group_IT_number 123
_space_group_name_Hall '-P 4 2'
loop_
_atom_site_label
_atom_site_type_symbol
_atom_site_fract_x
_atom_site_fract_y
_atom_site_fract_z
Ti1 Ti 0.000 0.000 0.000
Fe1 Fe 0.000 0.500 0.500
Se1 Se 0.000 0.000 0.500
Br1 Br 0.500 0.500 0.000
```


Number 1: calculated total energy -162.0 eV per cell. Number 2: calculated total energy -103.7 eV per cell. Number 3: calculated total energy -150.5 eV per cell. Number 4: calculated total energy -129.7 eV per cell. Number 5: calculated total energy -11.3 eV per cell. Number 6: calculated total energy -26.9 eV per cell. Number 7: calculated total energy -105.4 eV per cell. Number 8: calculated total energy -27.8 eV per cell.